Record 1
Density functional theory data (PBE) for a relaxed BaEu3Au crystal.

For the formation enthalpy at 0 K, the calculation gives -305 meV/atom. For the total energy, the calculation gives -37.5 eV per cell.

extended XYZ file:
```
5
Lattice="6.065 0.000 0.000 0.000 6.065 0.000 0.000 0.000 6.065" Properties=species:S:1:pos:R:3 pbc="T T T"
Ba 0.000 0.000 0.000
Eu 0.000 3.033 3.033
Eu 3.033 0.000 3.033
Eu 3.033 3.033 0.000
Au 3.033 3.033 3.033
```

***

Record 2
Density functional theory data (PBE) for a relaxed MnCrSi4 crystal.

Its uncorrected formation energy is 238 kJ/mol of formula units. For the total energy, the calculation gives -38.0 eV per cell.

extended XYZ file:
```
6
Lattice="0.000 3.416 3.416 3.416 0.000 3.416 3.416 3.416 0.000" Properties=species:S:1:pos:R:3 pbc="T T T"
Mn 0.000 0.000 0.000
Cr 1.708 1.708 1.708
Si 4.269 2.563 2.563
Si 2.563 4.269 2.563
Si 2.563 2.563 4.269
Si 4.269 4.269 4.269
```

***

Record 3
Density functional theory data (PBE) for a relaxed Sm5YSc crystal.

For the formation enthalpy at 0 K, the calculation gives 204 meV/atom. The offset from the most stable computed form comes out at 0.000 eV/f.u. For the total energy, the calculation gives -69.9 eV per cell.

extended XYZ file:
```
14
Lattice="5.890 -3.370 0.000 5.890 3.370 0.000 -4.838 0.000 11.468" Properties=species:S:1:pos:R:3 pbc="T T T"
Sm -1.003 0.921 8.369
Sm 2.262 2.842 8.601
Sm 0.061 1.672 11.400
Sm 4.463 1.672 5.802
Sm 1.416 -0.921 2.635
Sm 5.527 0.921 8.833
Sm 2.480 -1.672 5.666
Sm 6.882 -1.672 0.068
Sm 4.681 -2.842 2.867
Sm 7.946 -0.921 3.099
Y 4.681 0.172 2.867
Y 2.262 -0.172 8.601
Sc 0.526 1.685 5.734
Sc 2.945 -1.685 0.000
```

***

Record 4
Density functional theory data (PBE) for a relaxed U2GeMo crystal.

For the formation enthalpy at 0 K, the calculation gives -66 meV/atom. The offset from the most stable computed form comes out at 0.119 eV/f.u. For the total energy, the calculation gives -76.6 eV per cell.

extended XYZ file:
```
8
Lattice="5.645 0.000 0.000 0.000 4.159 0.000 -1.972 0.000 6.338" Properties=species:S:1:pos:R:3 pbc="T T T"
U 0.977 1.040 1.222
U -0.477 3.119 5.957
U 4.150 1.040 0.381
U 2.695 3.119 5.116
Ge 0.785 1.040 4.156
Ge 2.888 3.119 2.182
Mo -0.201 3.119 2.763
Mo 3.874 1.040 3.575
```